Entry 1:
# PBE MgSn2Cl, optimized geometry
data_MgSn2Cl
_space_group_name_H-M_alt 'P 1'
_space_group_IT_number 1
_space_group_name_Hall 'P 1'
_cell_length_a 4.1875
_cell_length_b 4.1875
_cell_length_c 12.5542
_cell_angle_alpha 80.40
_cell_angle_beta 80.40
_cell_angle_gamma 90.00
loop_
_atom_site_label
_atom_site_fract_x
_atom_site_fract_y
_atom_site_fract_z
_atom_site_occupancy
Mg1 0.5000 0.5000 0.0000 1
Mg2 0.2500 0.7500 0.5000 1
Sn1 0.6146 0.1250 0.2500 1
Sn2 0.1354 0.6250 0.2500 1
Sn3 0.3750 0.3854 0.7500 1
Sn4 0.8750 0.8646 0.7500 1
Cl1 0.0000 0.0000 0.0000 1
Cl2 0.7500 0.2500 0.5000 1
# Symmetry: No. 122
# ΔE_f (raw): -258 meV/atom
# ΔE to the lowest computed polymorph: 0 meV per atom

---

Entry 2:
# PBE MgSnCl6, optimized geometry
data_MgSnCl6
_space_group_name_H-M_alt 'P 1'
_space_group_IT_number 1
_space_group_name_Hall 'P 1'
_cell_length_a 6.3521
_cell_length_b 6.3527
_cell_length_c 6.7679
_cell_angle_alpha 62.02
_cell_angle_beta 62.03
_cell_angle_gamma 60.01
loop_
_atom_site_label
_atom_site_fract_x
_atom_site_fract_y
_atom_site_fract_z
_atom_site_occupancy
Mg1 0.5000 0.5000 0.5000 1
Sn1 0.0000 0.0000 0.0000 1
Cl1 0.0923 0.4000 0.7512 1
Cl2 0.7565 0.0923 0.7512 1
Cl3 0.6001 0.2435 0.2488 1
Cl4 0.2435 0.9077 0.2488 1
Cl5 0.9077 0.6000 0.2488 1
Cl6 0.3999 0.7565 0.7512 1
# Symmetry: No. 148
# ΔE_f (raw): -1182 meV/atom
# ΔE to the lowest computed polymorph: 26 meV per atom

---

Entry 3:
# PBE Mg3SnCl8, optimized geometry
data_Mg3SnCl8
_space_group_name_H-M_alt 'P 1'
_space_group_IT_number 1
_space_group_name_Hall 'P 1'
_cell_length_a 7.7028
_cell_length_b 7.6977
_cell_length_c 7.9300
_cell_angle_alpha 119.84
_cell_angle_beta 90.00
_cell_angle_gamma 120.02
loop_
_atom_site_label
_atom_site_fract_x
_atom_site_fract_y
_atom_site_fract_z
_atom_site_occupancy
Mg1 0.5000 0.0000 0.0000 1
Mg2 0.5000 0.5000 0.0000 1
Mg3 0.0000 0.5000 0.0000 1
Sn1 0.0000 0.0000 0.0000 1
Cl1 0.2614 0.5228 0.7896 1
Cl2 0.7386 0.4772 0.2104 1
Cl3 0.2915 0.0352 0.7844 1
Cl4 0.7437 0.0352 0.7844 1
Cl5 0.7436 0.4872 0.7843 1
Cl6 0.2564 0.5128 0.2157 1
Cl7 0.2563 0.9648 0.2156 1
Cl8 0.7085 0.9648 0.2156 1
# Symmetry: No. 12
# ΔE_f (raw): -1603 meV/atom

---

Entry 4:
# PBE MgSnCl2, optimized geometry
data_MgSnCl2
_space_group_name_H-M_alt 'P 1'
_space_group_IT_number 1
_space_group_name_Hall 'P 1'
_cell_length_a 9.7377
_cell_length_b 9.7377
_cell_length_c 9.7377
_cell_angle_alpha 21.15
_cell_angle_beta 21.15
_cell_angle_gamma 21.15
loop_
_atom_site_label
_atom_site_fract_x
_atom_site_fract_y
_atom_site_fract_z
_atom_site_occupancy
Mg1 0.0000 0.0000 0.0000 1
Sn1 0.5000 0.5000 0.5000 1
Cl1 0.9163 0.9163 0.9163 1
Cl2 0.0837 0.0837 0.0837 1
# Symmetry: No. 166
# ΔE_f (raw): -639 meV/atom
# ΔE to the lowest computed polymorph: 59 meV per atom

---

Entry 5:
# PBE MgSn2Cl6, optimized geometry
data_MgSn2Cl6
_space_group_name_H-M_alt 'P 1'
_space_group_IT_number 1
_space_group_name_Hall 'P 1'
_cell_length_a 6.8696
_cell_length_b 12.2051
_cell_length_c 12.2051
_cell_angle_alpha 44.95
_cell_angle_beta 69.11
_cell_angle_gamma 69.11
loop_
_atom_site_label
_atom_site_fract_x
_atom_site_fract_y
_atom_site_fract_z
_atom_site_occupancy
Mg1 0.2500 0.0011 0.9989 1
Mg2 0.7500 0.9989 0.0011 1
Sn1 0.2224 0.6417 0.8877 1
Sn2 0.2776 0.1123 0.3583 1
Sn3 0.7776 0.3583 0.1123 1
Sn4 0.7224 0.8877 0.6417 1
Cl1 0.6372 0.6220 0.7569 1
Cl2 0.8628 0.2431 0.3780 1
Cl3 0.3628 0.3780 0.2431 1
Cl4 0.1372 0.7569 0.6220 1
Cl5 0.7362 0.9907 0.3638 1
Cl6 0.7638 0.6362 0.0093 1
Cl7 0.2638 0.0093 0.6362 1
Cl8 0.2362 0.3638 0.9907 1
Cl9 0.0704 0.8122 0.0784 1
Cl10 0.4296 0.9216 0.1878 1
Cl11 0.9296 0.1878 0.9216 1
Cl12 0.5704 0.0784 0.8122 1
# Symmetry: No. 15
# ΔE_f (raw): -1243 meV/atom
# ΔE to the lowest computed polymorph: 6 meV per atom

---

Entry 6:
# PBE MgSnCl3, optimized geometry
data_MgSnCl3
_space_group_name_H-M_alt 'P 1'
_space_group_IT_number 1
_space_group_name_Hall 'P 1'
_cell_length_a 4.9605
_cell_length_b 4.9605
_cell_length_c 4.9605
_cell_angle_alpha 90.00
_cell_angle_beta 90.00
_cell_angle_gamma 90.00
loop_
_atom_site_label
_atom_site_fract_x
_atom_site_fract_y
_atom_site_fract_z
_atom_site_occupancy
Mg1 0.0000 0.0000 0.0000 1
Sn1 0.5000 0.5000 0.5000 1
Cl1 0.0000 0.5000 0.0000 1
Cl2 0.0000 0.0000 0.5000 1
Cl3 0.5000 0.0000 0.0000 1
# Symmetry: No. 221
# ΔE_f (raw): -1036 meV/atom
# ΔE to the lowest computed polymorph: 0 meV per atom

---

Entry 7:
# PBE Mg2TiSnCl, optimized geometry
data_Mg2TiSnCl
_space_group_name_H-M_alt 'P 1'
_space_group_IT_number 1
_space_group_name_Hall 'P 1'
_cell_length_a 4.8822
_cell_length_b 4.6232
_cell_length_c 4.8822
_cell_angle_alpha 90.00
_cell_angle_beta 90.00
_cell_angle_gamma 90.00
loop_
_atom_site_label
_atom_site_fract_x
_atom_site_fract_y
_atom_site_fract_z
_atom_site_occupancy
Mg1 0.0000 0.0000 0.5000 1
Mg2 0.5000 0.0000 0.0000 1
Cl1 0.0000 0.0000 0.0000 1
Sn1 0.5000 0.5000 0.5000 1
Ti1 0.0000 0.5000 0.0000 1
# Symmetry: No. 123
# ΔE_f (raw): 80 meV/atom

---

Entry 8:
# PBE MgTlSnCl5, optimized geometry
data_MgTlSnCl5
_space_group_name_H-M_alt 'P 1'
_space_group_IT_number 1
_space_group_name_Hall 'P 1'
_cell_length_a 7.4360
_cell_length_b 7.4360
_cell_length_c 10.7831
_cell_angle_alpha 110.01
_cell_angle_beta 110.01
_cell_angle_gamma 97.03
loop_
_atom_site_label
_atom_site_fract_x
_atom_site_fract_y
_atom_site_fract_z
_atom_site_occupancy
Mg1 0.0000 0.0000 0.5000 1
Mg2 0.0000 0.0000 0.0000 1
Tl1 0.3250 0.6750 0.2500 1
Tl2 0.6750 0.3250 0.7500 1
Sn1 0.7522 0.2478 0.2500 1
Sn2 0.2478 0.7522 0.7500 1
Cl1 0.0207 0.9793 0.2500 1
Cl2 0.9793 0.0207 0.7500 1
Cl3 0.9061 0.3152 0.0606 1
Cl4 0.0939 0.6848 0.9394 1
Cl5 0.6848 0.0939 0.4394 1
Cl6 0.3152 0.9061 0.5606 1
Cl7 0.8018 0.6400 0.4006 1
Cl8 0.1982 0.3600 0.5994 1
Cl9 0.3600 0.1982 0.0994 1
Cl10 0.6400 0.8018 0.9006 1
# Symmetry: No. 15
# ΔE_f (raw): -1281 meV/atom